First-principles (PBE) data for a geometry-optimized PrPd2Au9 structure, as listed in Alexandria via LeMat-Bulk.

Cell and atoms, written as extended XYZ:
```
24
Lattice="6.671 0.000 3.071 3.336 7.989 1.536 -0.005 0.000 8.792" Properties=species:S:1:pos:R:3 pbc="T T T"
Pr 3.336 0.000 1.536
Pr 3.333 3.994 5.932
Pd 6.668 1.997 9.665
Pd 8.338 5.991 6.037
Pd 6.670 1.997 5.269
Pd 5.000 5.991 8.898
Au 6.669 3.994 7.467
Au 0.000 0.000 0.000
Au 3.076 7.339 7.377
Au 4.264 0.650 4.796
Au 5.066 1.420 7.445
Au 5.609 6.568 6.264
Au 7.729 6.568 8.670
Au 1.600 1.420 4.419
Au 3.591 7.339 4.487
Au 2.403 0.650 7.067
Au 6.924 4.644 10.418
Au 2.405 3.345 2.671
Au 1.598 2.574 8.815
Au 4.395 5.415 2.739
Au 2.271 5.415 9.125
Au 5.068 2.574 3.049
Au 6.414 4.644 4.517
Au 4.261 3.345 9.192
```

Properties
For the spin magnetization, the calculation gives 0.00 Bohr magnetons per cell. The total DFT energy (no corrections) is -47.4 eV per formula unit. As for the energy above the most stable polymorph in this dataset: 0 meV per atom. The calculation puts the energy of formation from the pure elements at -0.2249 eV/atom. The space group is I4_1/amd, No. 141.